## HgBiIr (GGA-PBE)

Data for an optimized crystal structure of HgBiIr.

Results
* total magnetic moment: 0.001 μB per formula unit
* relative energy among the computed polymorphs: 0 meV per atom

Cell: 6.5883 6.5883 6.5883 Å, 90.00 90.00 90.00°
With the nearest neighbours (Å) after each atom.
Space group F-43m (No. 216)
Symmetry-distinct sites (fractional):
Hg 0.0000 0.0000 0.0000 x4  4 Ir 2.85
Bi 0.0000 0.0000 0.5000 x4  4 Ir 2.85
Ir 0.2500 0.2500 0.7500 x4  4 Hg 2.85, 4 Bi 2.85

=====

## HgBi2Ir (GGA-PBE)

Data for an optimized crystal structure of HgBi2Ir.

Results
* total magnetic moment: 0.012 μB per formula unit
* total DFT energy (no corrections): -3.73 eV/atom

Cell: 7.2225 7.2225 7.2225 Å, 90.00 90.00 90.00°
With the nearest neighbours (Å) after each atom.
Space group F-43m (No. 216)
Symmetry-distinct sites (fractional):
Hg 0.0000 0.0000 0.0000 x4  4 Ir 3.13, 4 Bi 3.13
Bi 0.0000 0.0000 0.5000 x4  4 Bi 3.13, 4 Ir 3.13
Bi 0.2500 0.2500 0.7500 x4  4 Hg 3.13, 4 Bi 3.13
Ir 0.2500 0.2500 0.2500 x4  4 Hg 3.13, 4 Bi 3.13

=====

## MgHgBiIr (GGA-PBE)

Data for an optimized crystal structure of MgHgBiIr.

Results
* total magnetic moment: 0.000 μB per formula unit
* relative energy among the computed polymorphs: 0 meV per atom

Cell: 6.9441 6.9441 6.9441 Å, 90.00 90.00 90.00°
With the nearest neighbours (Å) after each atom.
Space group F-43m (No. 216)
Symmetry-distinct sites (fractional):
Mg 0.0000 0.0000 0.0000 x4  4 Ir 3.01, 4 Hg 3.01
Hg 0.2500 0.2500 0.2500 x4  4 Bi 3.01, 4 Mg 3.01
Bi 0.0000 0.0000 0.5000 x4  4 Hg 3.01, 4 Ir 3.01
Ir 0.2500 0.2500 0.7500 x4  4 Bi 3.01, 4 Mg 3.01

=====

## KHg2Bi2 (GGA-PBE)

Data for an optimized crystal structure of KHg2Bi2.

Results
* total DFT energy (no corrections): -2.08 eV/atom

Cell: 5.2901 5.2901 12.6125 Å, 90.00 90.00 90.00°
With the nearest neighbours (Å) after each atom.
Space group I4/mmm (No. 139)
Symmetry-distinct sites (fractional):
K 0.0000 0.0000 0.0000 x2  8 Bi 4.05, 8 Hg 4.12
Hg 0.0000 0.5000 0.2500 x4  4 Bi 3.09
Bi 0.0000 0.0000 0.3760 x4  4 Hg 3.09, 1 Bi 3.13

=====

## KRbHg2BiSb (GGA-PBE)

Data for an optimized crystal structure of KRbHg2BiSb.

Results
* total DFT energy (no corrections): -2.14 eV/atom

Cell: 4.9901 4.9901 10.7877 Å, 90.00 90.00 120.00°
With the nearest neighbours (Å) after each atom.
Space group P3m1 (No. 156)
Symmetry-distinct sites (fractional):
K 0.0000 0.0000 0.0000 x1  6 Hg 3.71-3.73, 3 Sb 3.84, 3 Bi 3.95
Rb 0.0000 0.0000 0.4906 x1  3 Sb 3.98, 3 Bi 4.01, 6 Hg 4.10-4.28
Hg 0.3333 0.6667 0.2195 x1  3 Sb 2.89
Hg 0.6667 0.3333 0.7839 x1  3 Bi 2.90
Bi 0.3333 0.6667 0.7497 x1  3 Hg 2.90
Sb 0.6667 0.3333 0.2356 x1  3 Hg 2.89

=====

## K2Hg2BiSb (GGA-PBE)

Data for an optimized crystal structure of K2Hg2BiSb.

Results
* relative energy among the computed polymorphs: 0 meV per atom

Cell: 4.9526 4.9526 10.5062 Å, 90.00 90.00 120.00°
With the nearest neighbours (Å) after each atom.
Space group P3m1 (No. 156)
Symmetry-distinct sites (fractional):
K 0.0000 0.0000 0.0000 x1  6 Hg 3.76-3.95, 3 Sb 3.81, 3 Bi 4.01
K 0.0000 0.0000 0.4910 x1  6 Hg 3.76-4.07, 3 Bi 3.82, 3 Sb 3.89
Hg 0.3333 0.6667 0.7671 x1  3 Bi 2.88
Hg 0.6667 0.3333 0.2589 x1  3 Sb 2.87
Bi 0.6667 0.3333 0.7324 x1  3 Hg 2.88
Sb 0.3333 0.6667 0.2397 x1  3 Hg 2.87

=====

## K2Hg2BiSb (GGA-PBE)

Data for an optimized crystal structure of K2Hg2BiSb.

Results
* relative energy among the computed polymorphs: 3 meV per atom

Cell: 4.9765 4.9765 10.5203 Å, 90.00 90.00 120.00°
With the nearest neighbours (Å) after each atom.
Space group P-6m2 (No. 187)
Symmetry-distinct sites (fractional):
K 0.0000 0.0000 0.2504 x2  6 Hg 3.89-3.90, 3 Sb 3.89, 3 Bi 3.90
Hg 0.3333 0.6667 0.0000 x1  3 Bi 2.87
Hg 0.6667 0.3333 0.5000 x1  3 Sb 2.87
Bi 0.6667 0.3333 0.0000 x1  3 Hg 2.87
Sb 0.3333 0.6667 0.5000 x1  3 Hg 2.87

=====

## KHgBiSe3 (GGA-PBE)

Data for an optimized crystal structure of KHgBiSe3.

Results
* total DFT energy (no corrections): -3.21 eV/atom

Cell: 4.3660 14.9136 11.3630 Å, 90.00 90.00 90.00°
With the nearest neighbours (Å) after each atom.
Space group Cmcm (No. 63)
Symmetry-distinct sites (fractional):
K 0.0000 0.2448 0.2500 x4  8 Se 3.38-3.75
Hg 0.0000 0.0460 0.7500 x4  4 Se 2.66-2.80
Bi 0.0000 0.5000 0.0000 x4  6 Se 3.01-3.03
Se 0.0000 0.1339 0.5466 x8  1 Hg 2.66
Se 0.0000 0.4284 0.7500 x4  2 Hg 2.80, 2 Bi 3.03